This record from Alexandria via LeMat-Bulk describes CrBiO4 after structural relaxation. The functional is PBE with a Hubbard U.

a b c (Å): 6.080 10.885 6.089
angles (deg): 90.00 114.50 90.00
Sites, in units of the cell vectors:
Cr  0.000  0.123  0.250
Cr  0.000  0.877  0.750
Cr  0.500  0.375  0.250
Cr  0.500  0.625  0.750
Bi  0.000  0.396  0.750
Bi  0.000  0.604  0.250
Bi  0.500  0.157  0.750
Bi  0.500  0.843  0.250
O  0.089  0.211  0.502
O  0.089  0.789  0.002
O  0.224  0.462  0.156
O  0.224  0.538  0.656
O  0.239  0.039  0.291
O  0.239  0.961  0.791
O  0.414  0.291  0.971
O  0.414  0.709  0.471
O  0.586  0.291  0.529
O  0.586  0.709  0.029
O  0.761  0.039  0.209
O  0.761  0.961  0.709
O  0.776  0.462  0.344
O  0.776  0.538  0.844
O  0.911  0.211  0.998
O  0.911  0.789  0.498

Results
Its calculated density is 5.9 g cm⁻³. As for the energy: -39.1 eV per formula unit. As for the magnetic moment: 1.00 μB per formula unit.